Crystalline ScCuGeIr at its relaxed geometry, computed with PBE-GGA.

Cell: 4.4642 4.4642 4.4642 Å, 60.00 60.00 60.00°
Element x y z (fractional)
1 Cu 0.7500 0.7500 0.7500
2 Ge 0.0000 0.0000 0.0000
3 Ir 0.5000 0.5000 0.5000
4 Sc 0.2500 0.2500 0.2500

Space-group type   No. 216


Crystalline CuSiGeIr at its relaxed geometry, computed with PBE-GGA.

Cell: 4.2977 4.2977 4.2977 Å, 60.00 60.00 60.00°
Element x y z (fractional)
1 Cu 0.7500 0.7500 0.7500
2 Ge 0.0000 0.0000 0.0000
3 Ir 0.2500 0.2500 0.2500
4 Si 0.5000 0.5000 0.5000

Space-group type   No. 216


VASP energy / eV/atom: -6.155, -5.638